Record 1
CS2 SCAN single point on PBEsol structure; uncorrected formation energy = 0.83 eV per formula unit; magnetization = 0.0 μB/f.u.; total DFT energy (no corrections) = -9.5075 eV per atom; space group = Cmce, No. 64
1.0
-2.2968 3.3900 1.1955
0.4013 -1.7126 3.8861
7.4027 4.5741 1.2514
S C
4 2
direct
0.1964 0.1964 0.8768
0.3036 0.3036 0.3768
0.6964 0.6964 0.6232
0.8036 0.8036 0.1232
0.0000 0.0000 0.0000
0.5000 0.5000 0.5000

---

Record 2
SbC2S SCAN single point on PBEsol structure; uncorrected formation energy = 10.74 eV per formula unit; magnetization = 0.0 μB/f.u.; total DFT energy (no corrections) = -14.0881 eV per atom; space group = Fm-3m, No. 225
1.0
4.1116 0.0000 0.0000
2.0558 3.5608 0.0000
2.0558 1.1869 3.3571
Sb S C
1 1 2
direct
0.5000 0.5000 0.5000
0.0000 0.0000 0.0000
0.2500 0.2500 0.2500
0.7500 0.7500 0.7500

---

Record 3
SbCS3 SCAN single point on PBEsol structure; offset from the most stable computed form = 0 meV per atom; uncorrected formation energy = 5.46 eV per formula unit; magnetization = 0.0 μB/f.u.; total DFT energy (no corrections) = -14.1562 eV per atom; space group = Pm-3m, No. 221
1.0
-3.4318 1.4765 -1.8908
1.7675 -0.6752 -3.7352
-1.6220 -3.8595 -0.0699
Sb S C
1 3 1
direct
0.5000 0.5000 0.5000
0.0000 0.5000 0.0000
0.0000 0.0000 0.5000
0.5000 0.0000 0.0000
0.0000 0.0000 0.0000